# PBE+U PrScCr2O8, optimized geometry
# - total DFT energy (no corrections) (eV/cell) = -183.96
# - magnetic moment (μB per atom) = 0.167
# - theoretical density (g/cm3) = 4.24
data_PrScCr2O8
_space_group_name_H-M_alt 'I -4 m 2'
_space_group_IT_number 119
_space_group_name_Hall 'I -4 -2'
_cell_length_a 7.229
_cell_length_b 7.229
_cell_length_c 6.260
_cell_angle_alpha 90.00
_cell_angle_beta 90.00
_cell_angle_gamma 90.00
loop_
_atom_site_label
_atom_site_type_symbol
_atom_site_fract_x
_atom_site_fract_y
_atom_site_fract_z
Pr1 Pr 0.000 0.000 0.000
Sc1 Sc 0.000 0.500 0.250
Cr1 Cr 0.000 0.000 0.500
Cr2 Cr 0.000 0.500 0.750
O1 O 0.000 0.192 0.334
O2 O 0.000 0.325 0.935